Material: Na2NpF8
Method: DFT, PBE
State: relaxed

```
Na2NpF8
1.0
-2.038 -0.100 4.170
-3.477 -1.241 -6.445
5.051 -5.869 -3.487
F Na Np
8 2 1
Cartesian
-1.858 -0.970 0.488 F
1.216 -3.953 -3.454 F
-2.652 -1.914 -4.936 F
-1.237 -5.533 -4.701 F
1.394 -6.239 -6.251 F
2.188 -5.295 -0.826 F
0.773 -1.677 -1.062 F
-1.680 -3.256 -2.309 F
0.187 -4.066 -1.361 Na
-0.651 -3.143 -4.401 Na
-1.019 -0.050 2.085 Np
```

Results
formation energy (no corrections)	-2.85	eV/atom
offset from the most stable computed form	0	meV per atom
D(E_F)	1.254	states/eV/atom
final energy	-5.6292	eV per atom

***

Material: NaNp2F8
Method: DFT, PBE
State: relaxed

```
NaNp2F8
1.0
-0.861 -1.996 -3.141
5.480 0.176 -1.615
-0.803 -4.932 5.677
F Np Na
8 2 1
Cartesian
2.558 -4.271 -0.310 F
1.820 -2.098 -1.488 F
1.258 -2.482 1.232 F
1.996 -4.654 2.410 F
4.379 -2.999 -1.618 F
-0.562 -3.753 2.539 F
4.210 -0.306 -0.960 F
-0.394 -6.446 1.882 F
3.303 -1.873 0.284 Np
0.513 -4.879 0.637 Np
-0.431 -0.998 -1.570 Na
```

Results
formation energy (no corrections)	-3.37	eV/atom
offset from the most stable computed form	2	meV per atom
D(E_F)	0.753	states/eV/atom
final energy	-7.2041	eV per atom

***

Material: NaNp2F7
Method: DFT, PBE
State: relaxed

```
NaNp2F7
1.0
4.092 0.000 0.719
1.983 3.579 0.719
0.141 0.083 11.200
F Np Na
7 2 1
Cartesian
0.000 0.000 0.000 F
5.292 3.118 5.889 F
3.547 2.090 3.817 F
0.923 0.544 6.749 F
1.709 1.007 2.276 F
2.668 1.572 8.821 F
4.506 2.655 10.362 F
0.538 0.317 8.939 Np
5.677 3.345 3.699 Np
3.108 1.831 6.319 Na
```

Results
formation energy (no corrections)	-3.29	eV/atom
D(E_F)	1.465	states/eV/atom
final energy	-7.3161	eV per atom

***

Material: Na2NpF5
Method: DFT, PBE
State: relaxed

```
Na2NpF5
1.0
-6.131 1.761 -1.100
0.773 -1.640 -6.936
-3.048 -9.431 1.890
Na F Np
8 20 4
Cartesian
-6.733 -2.130 -3.916 Na
-3.195 -1.589 -3.721 Na
-1.294 -7.984 -5.631 Na
-5.211 -7.721 -2.425 Na
-1.673 -7.180 -2.230 Na
-5.590 -6.917 0.976 Na
-2.816 -2.393 -7.122 Na
-7.112 -1.326 -0.515 Na
-5.604 -0.615 -2.332 F
-7.896 -7.034 0.493 F
-5.836 -5.702 -1.155 F
-3.406 -7.465 -0.468 F
-1.711 -5.081 -0.842 F
-4.859 -3.350 -3.165 F
-5.000 -1.845 -5.679 F
-6.695 -4.228 -5.304 F
-2.570 -3.608 -4.991 F
-0.510 -2.276 -6.639 F
-3.221 -6.651 -5.907 F
-3.547 -5.960 -2.981 F
-5.185 -2.659 -0.239 F
-7.570 -7.725 -2.433 F
-5.875 -9.617 -3.939 F
-0.836 -1.585 -3.713 F
-2.802 -8.695 -3.814 F
-2.531 0.307 -2.207 F
-2.533 -2.562 -1.529 F
-5.873 -6.748 -4.617 F
-8.119 -8.984 -4.339 Np
-0.287 -0.326 -1.807 Np
-3.948 -4.428 -1.246 Np
-4.458 -4.882 -4.900 Np
```

Results
formation energy (no corrections)	-3.04	eV/atom
D(E_F)	1.071	states/eV/atom
final energy	-6.1579	eV per atom

***

Material: Na6NpF12
Method: DFT, PBE
State: relaxed

```
Na6NpF12
1.0
-2.794 5.899 -1.800
-3.765 -1.196 5.498
5.483 2.458 3.120
F Na Np
12 6 1
Cartesian
3.897 2.676 4.364 F
-4.973 4.485 2.455 F
-0.640 1.216 4.229 F
-2.687 3.602 4.695 F
1.142 3.634 5.266 F
0.470 0.921 7.057 F
-2.219 3.527 1.553 F
-1.546 6.240 -0.239 F
-0.436 5.945 2.590 F
2.734 6.366 1.696 F
-3.810 0.796 5.122 F
1.611 3.559 2.123 F
-0.877 2.828 5.821 Na
-2.472 1.939 3.152 Na
1.396 5.222 3.667 Na
-0.199 4.333 0.997 Na
1.429 1.988 3.716 Na
-2.505 5.173 3.102 Na
0.000 0.000 0.000 Np
```

Results
formation energy (no corrections)	-2.78	eV/atom
D(E_F)	0.928	states/eV/atom
final energy	-5.0643	eV per atom

***

Material: Na2Np2O5F2
Method: DFT, PBE
State: relaxed

```
Na2Np2O5F2
1.0
4.220 0.000 0.000
0.000 4.220 0.000
-2.110 -2.110 10.340
F O Np Na
2 5 2 2
Cartesian
0.000 0.000 4.326 F
2.110 2.110 6.014 F
0.000 2.110 2.328 O
0.000 2.110 8.012 O
2.110 0.000 8.012 O
2.110 0.000 2.328 O
0.000 0.000 0.000 O
2.110 2.110 8.263 Np
0.000 0.000 2.077 Np
0.000 0.000 6.542 Na
2.110 2.110 3.798 Na
```

Results
formation energy (no corrections)	-2.79	eV/atom
D(E_F)	0.822	states/eV/atom
final energy	-7.9782	eV per atom

***

Material: Rb2Na3NpF12
Method: DFT, PBE
State: relaxed

```
Rb2Na3NpF12
1.0
-0.456 -5.706 6.297
3.001 -7.958 -0.289
6.592 -2.983 4.480
F Na Rb Np
12 3 2 1
Cartesian
8.782 -11.894 5.796 F
2.932 -8.985 7.167 F
4.783 -3.042 3.551 F
6.861 -7.467 6.154 F
0.355 -4.753 4.693 F
2.527 -6.168 0.555 F
6.611 -10.479 9.933 F
4.858 -10.241 3.496 F
4.279 -6.406 6.992 F
6.206 -7.662 3.321 F
2.276 -9.180 4.334 F
4.354 -13.605 6.938 F
3.296 -1.491 2.240 Na
-0.228 -2.853 3.149 Na
1.500 -3.979 -0.144 Na
3.797 -6.918 4.359 Rb
5.340 -9.728 6.129 Rb
0.000 0.000 0.000 Np
```

Results
formation energy (no corrections)	-2.59	eV/atom
D(E_F)	1.132	states/eV/atom
final energy	-4.8835	eV per atom

***

Material: Rb2NaNpF8
Method: DFT, PBE
State: relaxed

```
Rb2NaNpF8
1.0
-1.858 5.707 1.364
-4.809 -2.301 3.075
6.457 -1.831 2.570
F Rb Na Np
8 2 1 1
Cartesian
-0.974 0.493 2.537 F
-3.966 2.842 4.551 F
0.509 0.391 4.620 F
3.266 1.711 2.857 F
-2.039 3.764 3.319 F
4.010 -0.577 2.310 F
-2.901 -0.429 3.769 F
1.253 -1.896 4.073 F
0.633 2.789 3.077 Rb
0.000 0.000 0.000 Rb
-3.334 1.703 2.220 Na
-0.843 -1.215 3.932 Np
```

Results
formation energy (no corrections)	-3.06	eV/atom
D(E_F)	0.943	states/eV/atom
final energy	-5.6582	eV per atom

***

Material: RbNa2NpF6
Method: DFT, PBE
State: relaxed

```
RbNa2NpF6
1.0
-3.927 3.523 -3.220
-2.014 -3.201 4.887
4.421 2.923 3.737
Rb F Na Np
1 6 2 1
Cartesian
1.209 0.077 4.452 Rb
2.401 1.990 2.852 F
-3.778 0.897 1.550 F
-1.008 2.651 3.187 F
-1.250 1.866 -0.603 F
-0.534 -0.450 2.169 F
-1.203 0.936 5.494 F
-2.300 0.542 3.309 Na
0.959 3.759 2.852 Na
-1.587 3.190 5.337 Np
```

Results
formation energy (no corrections)	-3.01	eV/atom
D(E_F)	0.486	states/eV/atom
final energy	-5.7826	eV per atom

***

Material: Rb3Na2NpF9
Method: DFT, PBE
State: relaxed

```
Rb3Na2NpF9
1.0
-4.564 2.364 -3.717
3.509 -4.889 -2.006
-5.375 -5.207 3.288
Rb F Na Np
3 9 2 1
Cartesian
0.000 0.000 0.000 Rb
-3.210 -1.349 -2.329 Rb
-3.220 -6.383 -0.106 Rb
-1.449 -2.956 -0.101 F
-4.428 -3.452 0.667 F
-6.821 -2.212 -1.282 F
0.391 -5.519 -1.153 F
-4.981 -4.776 -2.334 F
-0.528 -1.262 -2.862 F
-2.282 1.182 -1.859 F
-2.002 -4.280 -3.102 F
1.755 -2.445 -1.003 F
-6.394 -4.434 -0.381 Na
-0.035 -3.298 -2.054 Na
-2.687 -2.604 1.644 Np
```

Results
formation energy (no corrections)	-3.00	eV/atom
D(E_F)	0.767	states/eV/atom
final energy	-5.3583	eV per atom

***

Material: RbNa2NpF8
Method: DFT, PBE
State: relaxed

```
RbNa2NpF8
1.0
-0.386 1.339 -3.686
-5.297 -3.084 1.323
-4.621 6.595 2.868
Na F Np Rb
2 8 1 1
Cartesian
-4.410 0.938 0.687 Na
-5.894 3.912 -0.181 Na
-8.314 4.398 0.146 F
-4.033 2.761 -0.753 F
-5.540 0.252 -1.647 F
-6.270 2.089 1.259 F
-4.764 4.597 2.153 F
-4.588 -1.667 -0.338 F
-1.990 0.452 0.360 F
-5.716 6.517 0.844 F
0.000 0.000 0.000 Np
-2.311 3.297 1.434 Rb
```

Results
formation energy (no corrections)	-2.99	eV/atom
D(E_F)	0.378	states/eV/atom
final energy	-5.6133	eV per atom

***

Material: NaSrNpF6
Method: DFT, PBE
State: relaxed

```
NaSrNpF6
1.0
-0.678 5.038 3.222
-3.419 -4.811 1.181
7.111 -3.386 6.792
F Np Na Sr
12 2 2 2
Cartesian
-0.321 0.593 6.464 F
0.696 1.231 2.016 F
2.128 2.081 4.641 F
0.886 -5.239 6.554 F
-1.752 -0.267 3.833 F
3.878 -6.101 6.693 F
1.784 -2.031 7.214 F
4.767 -2.891 7.362 F
3.336 -3.751 4.730 F
1.231 -1.128 3.981 F
-0.864 2.942 4.502 F
2.319 -4.390 9.178 F
2.828 -4.067 6.955 Np
0.186 0.909 4.240 Np
-0.727 -2.374 3.559 Na
3.742 -0.784 7.635 Na
0.000 0.000 0.000 Sr
3.556 -1.693 3.396 Sr
```

Results
formation energy (no corrections)	-3.41	eV/atom
D(E_F)	0.270	states/eV/atom
final energy	-6.4252	eV per atom